A relaxed LiCrF3 crystal, computed with PBE+U.

- Magnetization: 0.8000 μB per atom
- Energy relative to the lowest polymorph listed for this composition: 0.566 eV/atom
- Space-group type: Pm-3m, No. 221
- N(E_F): 1.34 states/eV per atom

Cell: 3.683 3.683 3.683 Å, 90.00 90.00 90.00°
Fractional coordinates of all 5 atoms:
Li 0.000 0.000 0.000
Cr 0.500 0.500 0.500
F 0.000 0.000 0.500
F 0.000 0.500 0.000
F 0.500 0.000 0.000